# GGA+U Ba2NbV3O12, relaxed
# - E_tot: -0.553 Ry per atom
data_Ba2NbV3O12
_space_group_name_H-M_alt 'R -3 m'
_space_group_IT_number 166
_space_group_name_Hall '-R 3 2"'
_cell_length_a 7.0209
_cell_length_b 7.0209
_cell_length_c 17.8081
_cell_angle_alpha 90.00
_cell_angle_beta 90.00
_cell_angle_gamma 120.00
loop_
_atom_site_label
_atom_site_type_symbol
_atom_site_fract_x
_atom_site_fract_y
_atom_site_fract_z
_atom_site_occupancy
Ba1 Ba 0.0000 0.0000 0.1170 1
Nb1 Nb 0.0000 0.0000 0.5000 1
V1 V 0.0000 0.5000 0.0000 1
O1 O 0.0568 0.5284 0.1054 1
O2 O 0.0760 0.5380 0.3492 1